The following is a DFT calculation (GGA+U) of K2ThMoO6 after structural relaxation.

Unit cell a=6.0351 b=6.0356 c=6.0362 alpha=60.00 beta=60.00 gamma=90.00
Atoms (fractional coordinates):
O: 0.2706 0.2709 0.0001
O: 0.7292 0.7292 0.5416
Mo: 0.5000 0.5000 0.0000
K: 0.2499 0.7500 0.5001
O: 0.7294 0.7291 0.9999
O: 0.2708 0.2708 0.4584
K: 0.7501 0.2500 0.4999
O: 0.2709 0.7293 0.0000
O: 0.7291 0.2707 0.0000
Th: 0.0000 0.0000 0.0000

Computed properties:
**M_tot**: 0.000 μB/f.u.
**Volume**: 15.5 Å³/atom
**E**: -6.998 eV/atom